Below is Fe2AuSe after structural relaxation, with properties calculated at the PBE-GGA level.

```
data_Fe2AuSe
_symmetry_space_group_name_H-M 'C 1 m 1'
_symmetry_Int_Tables_number 8
_cell_length_a 8.105
_cell_length_b 3.031
_cell_length_c 5.493
_cell_angle_alpha 90.00
_cell_angle_beta 94.54
_cell_angle_gamma 90.00
loop_
_symmetry_equiv_pos_as_xyz
'x,y,z'
'x,-y,z'
'x+1/2,y+1/2,z'
'x+1/2,-y+1/2,z'
loop_
_atom_site_label
_atom_site_type_symbol
_atom_site_fract_x
_atom_site_fract_y
_atom_site_fract_z
_atom_site_occupancy
Fe1 Fe 0.000 0.000 0.000 1
Fe2 Fe 0.219 0.500 0.155 1
Au1 Au 0.459 0.000 0.416 1
Se1 Se 0.277 0.000 0.812 1
```

Properties
crystal system: monoclinic
E_form (uncorrected): 0.8 eV/f.u.


Below is Sb2PdO2 after structural relaxation, with properties calculated at the PBE-GGA level.

```
data_Sb2PdO2
_symmetry_space_group_name_H-M 'P 4/m b m'
_symmetry_Int_Tables_number 127
_symmetry_space_group_name_Hall '-P 4 2ab'
_cell_length_a 7.605
_cell_length_b 7.605
_cell_length_c 3.051
_cell_angle_alpha 90.00
_cell_angle_beta 90.00
_cell_angle_gamma 90.00
loop_
_atom_site_label
_atom_site_type_symbol
_atom_site_fract_x
_atom_site_fract_y
_atom_site_fract_z
_atom_site_occupancy
Sb1 Sb 0.246 0.254 0.000 1
Pd1 Pd 0.000 0.000 0.500 1
O1 O 0.127 0.627 0.500 1
```

Properties
crystal system: tetragonal
E_form (uncorrected): -2.6 eV/f.u.


Below is VFeCoIr after structural relaxation, with properties calculated at the PBE-GGA level.

```
data_VFeCoIr
_symmetry_space_group_name_H-M 'P m m m'
_symmetry_Int_Tables_number 47
_cell_length_a 3.641
_cell_length_b 3.659
_cell_length_c 3.675
_cell_angle_alpha 90.00
_cell_angle_beta 90.00
_cell_angle_gamma 90.00
loop_
_symmetry_equiv_pos_as_xyz
'x,y,z'
'-x,-y,-z'
'-x,-y,z'
'x,y,-z'
'x,-y,-z'
'-x,y,z'
'-x,y,-z'
'x,-y,z'
loop_
_atom_site_label
_atom_site_type_symbol
_atom_site_fract_x
_atom_site_fract_y
_atom_site_fract_z
_atom_site_occupancy
V1 V 0.000 0.000 0.000 1
Fe1 Fe 0.000 0.500 0.500 1
Co1 Co 0.500 0.000 0.500 1
Ir1 Ir 0.500 0.500 0.000 1
```

Properties
crystal system: orthorhombic
energy: -34.63 eV per cell


Below is LiZrRu after structural relaxation, with properties calculated at the PBE-GGA level.

```
data_LiZrRu
_symmetry_space_group_name_H-M 'P 1'
_symmetry_Int_Tables_number 1
_cell_length_a 4.842
_cell_length_b 4.854
_cell_length_c 5.092
_cell_angle_alpha 90.49
_cell_angle_beta 101.03
_cell_angle_gamma 119.87
loop_
_symmetry_equiv_pos_as_xyz
'x,y,z'
loop_
_atom_site_label
_atom_site_type_symbol
_atom_site_fract_x
_atom_site_fract_y
_atom_site_fract_z
_atom_site_occupancy
Li1 Li 0.000 0.000 0.000 1
Li2 Li 0.132 0.070 0.538 1
Zr1 Zr 0.347 0.674 0.102 1
Zr2 Zr 0.787 0.397 0.459 1
Ru1 Ru 0.466 0.736 0.614 1
Ru2 Ru 0.664 0.333 0.946 1
```

Properties
crystal system: triclinic
energy: -40.47 eV per cell